No. 1
Material: InNiBRu2
Method: DFT, PBE-GGA
State: relaxed

The calculated formation energy comes out at -0.061 eV per atom. The calculation puts the total energy at -6.811 eV/atom. For the density of states at the Fermi level, the calculation gives 6.08 states/eV/f.u.

The structure belongs to space group P4/mmm (No. 123); the cell edges are 4.142, 4.142 and 3.890 Å and the angles 90.00°, 90.00° and 90.00°. Symmetry generates all atoms from In at (0.000, 0.000, 0.000), Ni at (0.500, 0.500, 0.000), B at (0.500, 0.500, 0.500) and Ru at (0.000, 0.500, 0.500).

***

No. 2
Material: InNi2BRu
Method: DFT, PBE-GGA
State: relaxed

The calculated formation energy comes out at -0.195 eV per atom. The calculation puts the total energy at -6.246 eV/atom. For the density of states at the Fermi level, the calculation gives 1.92 states/eV/f.u.

The structure belongs to space group P4/mmm (No. 123); the cell edges are 3.952, 3.952 and 4.083 Å and the angles 90.00°, 90.00° and 90.00°. Symmetry generates all atoms from In at (0.000, 0.000, 0.000), Ni at (0.000, 0.500, 0.500), B at (0.500, 0.500, 0.500) and Ru at (0.500, 0.500, 0.000).

***

No. 3
Material: InNiB2Se
Method: DFT, PBE-GGA
State: relaxed

The energy relative to the elements, uncorrected comes out at 1.917 eV/atom. The calculation puts the total energy at -3.155 eV/atom. For the density of states at the Fermi level, the calculation gives 4.87 states/eV/f.u.

The structure belongs to space group P4/mmm (No. 123); the cell edges are 4.296, 4.296 and 5.621 Å and the angles 90.00°, 90.00° and 90.00°. Symmetry generates all atoms from In at (0.000, 0.000, 0.000), Ni at (0.500, 0.500, 0.500), B at (0.000, 0.500, 0.000) and Se at (0.000, 0.000, 0.500).

***

No. 4
Material: In2SiNiB
Method: DFT, PBE-GGA
State: relaxed

The energy relative to the elements, uncorrected comes out at 0.598 eV/atom. The calculation puts the total energy at -4.073 eV/atom. For the density of states at the Fermi level, the calculation gives 3.41 states/eV/f.u.

The structure belongs to space group P4/mmm (No. 123); the cell edges are 4.734, 4.734 and 3.849 Å and the angles 90.00°, 90.00° and 90.00°. Symmetry generates all atoms from In at (0.000, 0.500, 0.000), Si at (0.000, 0.000, 0.500), Ni at (0.500, 0.500, 0.500) and B at (0.500, 0.500, 0.000).

***

No. 5
Material: InSiNiB2
Method: DFT, PBE-GGA
State: relaxed

The energy relative to the elements, uncorrected comes out at 2.198 eV/atom. The calculation puts the total energy at -3.262 eV/atom. For the density of states at the Fermi level, the calculation gives 4.40 states/eV/f.u.

The structure belongs to space group P4/mmm (No. 123); the cell edges are 4.253, 4.253 and 5.400 Å and the angles 90.00°, 90.00° and 90.00°. Symmetry generates all atoms from In at (0.000, 0.000, 0.000), Si at (0.000, 0.000, 0.500), Ni at (0.500, 0.500, 0.500) and B at (0.000, 0.500, 0.000).

***

No. 6
Material: Tb2InNi12B3
Method: DFT, PBE-GGA
State: relaxed

The calculated formation energy comes out at -0.083 eV per atom. The calculation puts the total energy at -5.717 eV/atom. For the density of states at the Fermi level, the calculation gives 11.44 states/eV/f.u.

The structure belongs to space group R-3m (No. 166, hexagonal axes); the cell edges are 6.9849, 6.9849 and 17.2036 Å and the angles 90.00°, 90.00° and 120.00°. Symmetry generates all atoms from Tb at (0.0000, 0.0000, 0.0935), In at (0.0000, 0.0000, 0.5000), Ni at (0.0703, 0.5352, 0.3072), Ni at (0.0825, 0.5413, 0.8917) and B at (0.0000, 0.5000, 0.0000).

***

No. 7
Material: InTcNi2B
Method: DFT, PBE-GGA
State: relaxed

The calculated formation energy comes out at -0.103 eV per atom. The calculation puts the total energy at -6.372 eV/atom. For the density of states at the Fermi level, the calculation gives 3.80 states/eV/f.u.

The structure belongs to space group P4/mmm (No. 123); the cell edges are 3.955, 3.955 and 4.142 Å and the angles 90.00°, 90.00° and 90.00°. Symmetry generates all atoms from In at (0.000, 0.000, 0.000), Tc at (0.500, 0.500, 0.000), Ni at (0.000, 0.500, 0.500) and B at (0.500, 0.500, 0.500).

***

No. 8
Material: Th2InNi12B3
Method: DFT, PBE-GGA
State: relaxed

The calculated formation energy comes out at -0.128 eV per atom. The calculation puts the total energy at -6.072 eV/atom. For the density of states at the Fermi level, the calculation gives 13.24 states/eV/f.u.

The structure belongs to space group R-3m (No. 166, hexagonal axes); the cell edges are 6.9670, 6.9670 and 17.7991 Å and the angles 90.00°, 90.00° and 120.00°. Symmetry generates all atoms from Th at (0.0000, 0.0000, 0.0977), In at (0.0000, 0.0000, 0.5000), Ni at (0.0679, 0.5340, 0.3085), Ni at (0.0864, 0.5432, 0.8949) and B at (0.0000, 0.5000, 0.0000).